## Li2BeNi2 (PBE-GGA)

Data for an optimized crystal structure of Li2BeNi2.

Unit cell a=5.465 b=5.465 c=4.066 alpha=90.00 beta=90.00 gamma=90.00
Fractional coordinates of all 10 atoms:
Li (0.172, 0.328, 0.000)
Li (0.328, 0.828, 0.000)
Li (0.672, 0.172, 0.000)
Li (0.828, 0.672, 0.000)
Be (0.000, 0.000, 0.500)
Be (0.500, 0.500, 0.500)
Ni (0.147, 0.647, 0.500)
Ni (0.353, 0.147, 0.500)
Ni (0.647, 0.853, 0.500)
Ni (0.853, 0.353, 0.500)

Properties
* SG: P4/mbm
* calculated formation energy: -12.6 meV/atom
* calculated total energy: -3.836 eV/atom